one | A relaxed structure of KSiBr2, computed with PBE.

Calculated values
The density of states at the Fermi level comes out at 1.89 states/eV/cell.

```
KSiBr2
1.0
2.4335 0.0000 9.4005
-1.2168 2.1075 9.4005
-1.2168 -2.1075 9.4005
K Si Br
1 1 2
Direct
0.5000 0.5000 0.5000
0.0000 0.0000 0.0000
0.9081 0.9081 0.9081
0.0919 0.0919 0.0919
```

two | A relaxed structure of KSiBr2, computed with PBE.

Calculated values
The density of states at the Fermi level comes out at 0.79 states/eV/cell.

```
KSiBr2
1.0
-2.0792 -3.0927 -5.3730
3.3730 -2.6586 -4.9307
0.1167 -3.4101 1.9078
Br K Si
2 1 1
Direct
0.0321 0.0321 0.0011
0.7304 0.7304 0.9984
0.5020 0.5020 0.5007
0.2356 0.2356 0.9998
```

three | A relaxed structure of KSiBr2, computed with PBE.

Calculated values
The density of states at the Fermi level comes out at 0.65 states/eV/cell.

```
KSiBr2
1.0
-2.1016 3.0387 -2.8312
-0.3279 -4.6249 -0.4114
-6.6950 0.0298 5.0017
Br K Si
2 1 1
Direct
0.0000 0.0000 0.9745
0.0000 0.0000 0.5255
0.5000 0.5000 0.2500
0.5000 0.5000 0.7500
```

Q: Which of them is the most stable? A: two.

one | A relaxed structure of KSiBr2, computed with PBE.

Calculated values
The density of states at the Fermi level comes out at 1.80 states/eV/cell.

```
KSiBr2
1.0
-4.1244 -5.3425 4.6187
-4.2944 -6.8519 -1.2226
6.7207 4.4608 -1.3483
Br K Si
2 1 1
Direct
0.0000 0.0000 0.0000
0.2500 0.7500 0.5000
0.5000 0.5000 0.0000
0.7500 0.2500 0.5000
```

two | A relaxed structure of KSiBr2, computed with PBE.

Calculated values
The density of states at the Fermi level comes out at 3.36 states/eV/cell.

```
KSiBr2
1.0
-2.7405 4.6634 1.1366
-5.2136 0.6316 -1.7232
-4.1446 -0.0513 3.6564
Br K Si
2 1 1
Direct
0.0000 0.0000 0.0000
0.2500 0.2500 0.2500
0.5000 0.5000 0.5000
0.7500 0.7500 0.7500
```

three | A relaxed structure of KSiBr2, computed with PBE.

Calculated values
The density of states at the Fermi level comes out at 1.46 states/eV/cell.

```
KSiBr2
1.0
-1.4988 -3.5787 2.2660
1.5329 -2.6991 -3.2486
5.6496 -0.4444 3.0351
Br K Si
2 1 1
Direct
0.0000 0.0000 0.8996
0.5000 0.5000 0.2902
0.0000 0.0000 0.4057
0.5000 0.5000 0.9044
```

four | A relaxed structure of KSiBr2, computed with PBE.

Calculated values
The density of states at the Fermi level comes out at 1.06 states/eV/cell.

```
KSiBr2
1.0
-1.8929 -2.2270 -2.8494
-1.1669 -2.4528 2.6922
-6.4186 4.1423 1.0265
Br K Si
2 1 1
Direct
0.0000 0.7501 0.0006
0.0000 0.7499 0.4994
0.5000 0.2500 0.2500
0.5000 0.7500 0.7500
```

Q: Which of them is the most stable? A: four.

one | A relaxed structure of KSiBr2, computed with PBE.

Calculated values
The density of states at the Fermi level comes out at 0.11 states/eV/cell.

```
KSiBr2
1.0
-5.3941 -2.6515 -0.3391
0.2463 -3.2806 5.0417
-0.0638 5.7768 -1.6931
Br K Si
2 1 1
Direct
0.9533 0.9533 0.0000
0.5467 0.5467 0.0000
0.2500 0.7500 0.5000
0.7500 0.2500 0.5000
```

two | A relaxed structure of KSiBr2, computed with PBE.

Calculated values
The density of states at the Fermi level comes out at 2.08 states/eV/cell.

```
KSiBr2
1.0
-4.8692 3.4916 -3.7171
-6.7045 2.1449 0.4078
-3.8613 5.8962 0.2070
Br K Si
2 1 1
Direct
0.0177 0.0177 0.0177
0.4823 0.4823 0.4823
0.2500 0.2500 0.2500
0.7500 0.7500 0.7500
```

Q: Which of them is the most stable? A: one.

one | A relaxed structure of KSiBr4, computed with PBE.

Calculated values
The density of states at the Fermi level comes out at 2.47 states/eV/cell.

```
KSiBr4
1.0
-1.9599 5.8840 5.5515
-7.8771 -2.6886 0.0688
5.7123 -3.8550 -0.1374
K Si Br
1 1 4
Direct
0.7500 0.2500 0.5000
0.5000 0.5000 0.0000
0.4939 0.8313 0.3718
0.8779 0.5406 0.3718
0.1687 0.1221 0.6282
0.4594 0.5061 0.6282
```

two | A relaxed structure of KSiBr4, computed with PBE.

Calculated values
The density of states at the Fermi level comes out at 7.03 states/eV/cell.

```
KSiBr4
1.0
2.4359 -5.8083 1.5808
-3.9228 -4.6662 2.2377
-1.3117 -5.1832 -3.6855
K Si Br
1 1 4
Direct
0.7500 0.7500 0.7500
0.0000 0.0000 0.0000
0.8765 0.3745 0.3745
0.3745 0.3745 0.8765
0.3745 0.8765 0.3745
0.3745 0.3745 0.3745
```

Q: Which of them is the most stable? A: one.

one | A relaxed structure of K2SmBr5, computed with PBE.

Calculated values
The density of states at the Fermi level comes out at 0.00 states/eV/cell.

```
K2SmBr5
1.0
8.5045 0.3753 -1.0841
0.3824 8.4997 -1.0973
-5.2291 -5.2232 7.8534
K Sm Br
2 1 5
Direct
0.2110 0.6522 0.2612
0.6514 0.2104 0.2602
0.9840 0.9840 0.0008
0.8684 0.3305 0.1429
0.1696 0.1697 0.9497
0.9217 0.9216 0.2019
0.3295 0.8672 0.1413
0.6414 0.6415 0.5960
```

two | A relaxed structure of K2SmBr5, computed with PBE.

Calculated values
The density of states at the Fermi level comes out at 0.00 states/eV/cell.

```
K2SmBr5
1.0
-1.1849 8.1503 2.4353
-8.3333 -2.1579 3.1672
5.3857 -2.8674 12.2167
K Sm Br
8 4 20
Direct
0.9443 0.0036 0.8275
0.0557 0.9964 0.1725
0.4443 0.9964 0.6725
0.0557 0.5036 0.1725
0.5557 0.0036 0.3275
0.9443 0.4964 0.8275
0.5557 0.4964 0.3275
0.4443 0.5036 0.6725
0.9233 0.7500 0.5055
0.0767 0.2500 0.4945
0.4233 0.2500 0.9945
0.5767 0.7500 0.0055
0.1212 0.7500 0.6788
0.8788 0.2500 0.3212
0.6212 0.2500 0.8212
0.3788 0.7500 0.1788
0.8349 0.0445 0.5747
0.1651 0.9555 0.4253
0.3349 0.9555 0.9253
0.1651 0.5445 0.4253
0.6651 0.0445 0.0747
0.8349 0.4555 0.5747
0.6651 0.4555 0.0747
0.3349 0.5445 0.9253
0.5802 0.7500 0.5100
0.4198 0.2500 0.4900
0.0802 0.2500 0.9900
0.9198 0.7500 0.0100
0.6585 0.7500 0.7986
0.3415 0.2500 0.2014
0.1585 0.2500 0.7014
0.8415 0.7500 0.2986
```

Q: Which of them is the most stable? A: two.

one | A relaxed structure of K2SnBr6, computed with PBE.

```
K2SnBr6
1.0
-1.6812 5.6685 4.2228
-6.1598 -3.3039 1.9826
6.6654 -6.0007 10.7088
K Sn Br
4 2 12
Direct
0.5000 0.5000 0.3344
0.5000 0.5000 0.6656
0.0000 0.0000 0.1656
0.0000 0.0000 0.8344
0.5000 0.5000 0.0000
0.0000 0.0000 0.5000
0.6795 0.6795 0.1370
0.6795 0.6795 0.8630
0.7412 0.7412 0.5000
0.7588 0.2412 0.0000
0.8205 0.1795 0.3630
0.8205 0.1795 0.6370
0.1795 0.8205 0.3630
0.1795 0.8205 0.6370
0.2412 0.7588 0.0000
0.2588 0.2588 0.5000
0.3205 0.3205 0.1370
0.3205 0.3205 0.8630
```

two | A relaxed structure of K2SnBr6, computed with PBE.

Calculated values
The density of states at the Fermi level comes out at 0.00 states/eV/cell.

```
K2SnBr6
1.0
7.9674 0.0000 0.0000
0.0000 7.6440 -0.0515
0.0000 7.5415 10.5282
K Sn Br
4 2 12
Direct
0.5720 0.7295 0.2525
0.9280 0.7295 0.7525
0.0720 0.2705 0.2475
0.4280 0.2705 0.7475
0.0000 0.0000 0.0000
0.5000 0.0000 0.5000
0.4904 0.1668 0.2554
0.7773 0.2231 0.4645
0.9904 0.8332 0.2446
0.7227 0.2231 0.9645
0.2227 0.7769 0.5355
0.5095 0.8332 0.7446
0.6880 0.6773 0.5411
0.8120 0.6773 0.0411
0.0096 0.1668 0.7554
0.3120 0.3227 0.4589
0.2773 0.7769 0.0355
0.1880 0.3227 0.9589
```

Q: Which of them is the most stable? A: two.